[1]
Density functional theory data (PBE) for a geometry-optimized YTlPd4 structure.

Calculated formation energy = -579 meV per atom
N(E_F) = 10.883 states/eV per cell
Calculated total energy = -132.30 eV/cell
Energy relative to the lowest polymorph listed for this composition = 0.00 eV/f.u.
Crystal system = cubic

a = 7.6539 Å, b = 7.6539 Å, c = 7.6539 Å
α = 90.00°, β = 90.00°, γ = 90.00°
Space group F-43m (No. 216)
Asymmetric unit:
Y1 0.0000 0.0000 0.0000 (multiplicity 4)
Tl1 0.2500 0.2500 0.2500 (multiplicity 4)
Pd1 0.1248 0.1248 0.6248 (multiplicity 16)

***

[2]
Density functional theory data (PBE) for a geometry-optimized Pm8Pr2Sc structure.

Calculated formation energy = 156 meV per atom
N(E_F) = 35.899 states/eV per cell
Calculated total energy = -104.36 eV/cell
Energy relative to the lowest polymorph listed for this composition = 1.41 eV/f.u.
Crystal system = monoclinic

a = 16.6257 Å, b = 6.8328 Å, c = 6.8101 Å
α = 90.00°, β = 102.85°, γ = 90.00°
Space group C2/m (No. 12)
Asymmetric unit:
Pm1 0.0803 0.2399 0.3886 (multiplicity 8)
Pm2 0.0946 0.0000 0.9207 (multiplicity 4)
Pm3 0.2440 0.5000 0.3258 (multiplicity 4)
Pr1 0.1852 0.5000 0.8093 (multiplicity 4)
Sc1 0.0000 0.5000 0.0000 (multiplicity 2)

***

[3]
Density functional theory data (PBE) for a geometry-optimized CoCuHg3 structure.

Calculated formation energy = 840 meV per atom
N(E_F) = 6.640 states/eV per cell
Calculated total energy = -7.91 eV/cell
Energy relative to the lowest polymorph listed for this composition = 0.63 eV/f.u.
Crystal system = cubic

a = 4.9814 Å, b = 4.9814 Å, c = 4.9814 Å
α = 90.00°, β = 90.00°, γ = 90.00°
Space group Pm-3m (No. 221)
Asymmetric unit:
Co1 0.0000 0.0000 0.0000 (multiplicity 1)
Cu1 0.5000 0.5000 0.5000 (multiplicity 1)
Hg1 0.0000 0.5000 0.5000 (multiplicity 3)